(1)
A geometry-optimized Na2CaCd2 structure, computed with GGA-PBE.

Unit cell a=5.1556 b=3.8188 c=15.3141 alpha=97.16 beta=99.69 gamma=90.00
Fractional coordinates of all 10 atoms:
Ca: 0.1788 0.4288 0.3576
Cd: 0.3683 0.1183 0.7365
Cd: 0.7271 0.9771 0.4543
Na: 0.5468 0.2968 0.0936
Ca: 0.8212 0.5712 0.6424
Cd: 0.6317 0.8817 0.2635
Na: 0.4532 0.7032 0.9064
Cd: 0.2729 0.0229 0.5457
Na: 0.0654 0.8154 0.1308
Na: 0.9346 0.1846 0.8692

- Space group: Imma
- Energy above the most stable polymorph in this dataset: 0.0 meV per atom
- Mass density: 3.50 g cm⁻³
- V: 294.8 Å³ per cell
- Size of the total moment: 0.00 μB/cell

(2)
A geometry-optimized Na2Ca2Cd structure, computed with GGA-PBE.

Unit cell a=8.3397 b=8.3397 c=5.6174 alpha=90.00 beta=90.00 gamma=90.00
Fractional coordinates of all 10 atoms:
Ca: 0.1578 0.3422 0.0000
Ca: 0.8422 0.6577 0.0000
Na: 0.8449 0.3449 0.5000
Na: 0.3449 0.1551 0.5000
Cd: 0.5000 0.5000 0.0000
Na: 0.1551 0.6551 0.5000
Ca: 0.6577 0.1578 0.0000
Cd: 0.0000 0.0000 0.0000
Ca: 0.3422 0.8422 0.0000
Na: 0.6551 0.8449 0.5000

- Space group: P4/mbm
- Energy above the most stable polymorph in this dataset: 218.6 meV per atom
- Mass density: 2.03 g cm⁻³
- V: 390.7 Å³ per cell
- Size of the total moment: 0.00 μB/cell

(3)
A geometry-optimized NaCa6Cd structure, computed with GGA-PBE.

Unit cell a=7.4695 b=7.4695 c=7.4627 alpha=103.62 beta=103.62 gamma=119.76
Fractional coordinates of all 8 atoms:
Cd: 0.5000 0.5000 0.5000
Ca: 0.9406 0.5297 0.7446
Ca: 0.5297 0.9406 0.7446
Ca: 0.7396 0.7396 0.2624
Ca: 0.2604 0.2604 0.7376
Ca: 0.4703 0.0594 0.2554
Na: 0.0000 0.0000 0.0000
Ca: 0.0594 0.4703 0.2554

- Space group: C2/m
- Energy above the most stable polymorph in this dataset: 128.8 meV per atom
- Mass density: 1.96 g cm⁻³
- V: 319.2 Å³ per cell
- Size of the total moment: 0.00 μB/cell

(4)
A geometry-optimized Na3CaCd structure, computed with GGA-PBE.

Unit cell a=5.8100 b=5.8100 c=5.8100 alpha=90.00 beta=90.00 gamma=90.00
Fractional coordinates of all 5 atoms:
Na: 0.5000 0.0000 0.0000
Na: 0.0000 0.5000 0.0000
Ca: 0.5000 0.5000 0.5000
Na: 0.0000 0.0000 0.5000
Cd: 0.0000 0.0000 0.0000

- Space group: Pm-3m
- Energy above the most stable polymorph in this dataset: 0.0 meV per atom
- Mass density: 1.88 g cm⁻³
- V: 196.1 Å³ per cell
- Size of the total moment: 0.00 μB/cell

(5)
A geometry-optimized NaCaCd14 structure, computed with GGA-PBE.

Unit cell a=6.5266 b=6.5266 c=8.8269 alpha=90.00 beta=90.00 gamma=90.00
Fractional coordinates of all 16 atoms:
Ca: 0.8750 0.8750 0.5000
Cd: 0.6229 0.6229 0.2399
Cd: 0.3750 0.3750 0.0000
Cd: 0.1271 0.1271 0.2399
Cd: 0.1271 0.6229 0.7601
Cd: 0.8750 0.3750 0.5000
Na: 0.3750 0.3750 0.5000
Cd: 0.8750 0.3750 0.0000
Cd: 0.1271 0.6229 0.2399
Cd: 0.8750 0.8750 0.0000
Cd: 0.1271 0.1271 0.7601
Cd: 0.3750 0.8750 0.5000
Cd: 0.3750 0.8750 0.0000
Cd: 0.6229 0.1271 0.7601
Cd: 0.6229 0.1271 0.2399
Cd: 0.6229 0.6229 0.7601

- Space group: P4/mmm
- Mass density: 7.23 g cm⁻³
- V: 376.0 Å³ per cell
- Size of the total moment: 0.00 μB/cell
- Raw total energy: -1.0922 eV/atom

(6)
A geometry-optimized NaCa2Cd2 structure, computed with GGA-PBE.

Unit cell a=8.4043 b=8.4043 c=4.4097 alpha=90.00 beta=90.00 gamma=90.00
Fractional coordinates of all 10 atoms:
Cd: 0.3705 0.8705 0.0000
Cd: 0.8705 0.6295 0.0000
Ca: 0.6654 0.8346 0.5000
Na: 0.5000 0.5000 0.0000
Ca: 0.1654 0.6654 0.5000
Cd: 0.6295 0.1295 0.0000
Ca: 0.3346 0.1654 0.5000
Ca: 0.8346 0.3346 0.5000
Cd: 0.1295 0.3705 0.0000
Na: 0.0000 0.0000 0.0000

- Space group: P4/mbm
- Energy above the most stable polymorph in this dataset: 0.0 meV per atom
- Mass density: 3.50 g cm⁻³
- V: 311.5 Å³ per cell
- Size of the total moment: 0.00 μB/cell

(7)
A geometry-optimized Na2Ca2Cd structure, computed with GGA-PBE.

Unit cell a=4.1475 b=4.1475 c=10.4569 alpha=78.56 beta=78.56 gamma=90.00
Fractional coordinates of all 5 atoms:
Cd: 0.0000 0.0000 0.0000
Ca: 0.4119 0.4119 0.1762
Na: 0.2500 0.7500 0.5000
Ca: 0.5881 0.5881 0.8238
Na: 0.7500 0.2500 0.5000

- Space group: I4/mmm
- Energy above the most stable polymorph in this dataset: 159.2 meV per atom
- Mass density: 2.29 g cm⁻³
- V: 172.7 Å³ per cell
- Size of the total moment: 0.00 μB/cell

(8)
A geometry-optimized Na2CaCd9 structure, computed with GGA-PBE.

Unit cell a=5.9561 b=5.9561 c=10.3182 alpha=73.22 beta=73.22 gamma=60.00
Fractional coordinates of all 12 atoms:
Cd: 0.6657 0.6657 0.0030
Cd: 0.4118 0.9206 0.2557
Cd: 0.9206 0.4118 0.2557
Cd: 0.5882 0.5882 0.7443
Na: 0.1440 0.1440 0.5679
Cd: 0.5882 0.0794 0.7443
Cd: 0.4118 0.4118 0.2557
Na: 0.8560 0.8560 0.4321
Ca: 0.0000 0.0000 0.0000
Cd: 0.3343 0.3343 0.9970
Cd: 0.0794 0.5882 0.7443
Cd: 0.5000 0.5000 0.5000

- Space group: R-3m
- Mass density: 6.10 g cm⁻³
- V: 298.9 Å³ per cell
- Size of the total moment: 0.00 μB/cell
- Raw total energy: -1.2094 eV/atom

no.,Fermi-level density of states (states/eV/cell)
1,6.88
2,7.81
3,7.69
4,3.21
5,5.29
6,6.02
7,3.49
8,6.49